Entry 1:
# KPt2Rh PBE optimized geometry
data_KPt2Rh
_symmetry_space_group_name_H-M 'P 1'
_symmetry_Int_Tables_number 1
_symmetry_space_group_name_Hall 'P 1'
_cell_length_a 4.179
_cell_length_b 4.107
_cell_length_c 4.107
_cell_angle_alpha 90.00
_cell_angle_beta 90.00
_cell_angle_gamma 90.00
loop_
_atom_site_label
_atom_site_type_symbol
_atom_site_fract_x
_atom_site_fract_y
_atom_site_fract_z
K1 K 0.500 0.000 0.500
Pt1 Pt 0.000 0.000 0.000
Pt2 Pt 0.000 0.500 0.500
Rh1 Rh 0.500 0.500 0.000
# Total moment in Bohr magnetons per cell: 0.000
# Volume in Å³/cell: 70
# N(E_F) in states/eV per atom: 0.95
# DFT total energy in eV/f.u.: -18.29



Entry 2:
# KPtRh2 PBE optimized geometry
data_KPtRh2
_symmetry_space_group_name_H-M 'P 1'
_symmetry_Int_Tables_number 1
_symmetry_space_group_name_Hall 'P 1'
_cell_length_a 2.750
_cell_length_b 5.087
_cell_length_c 4.999
_cell_angle_alpha 90.00
_cell_angle_beta 90.00
_cell_angle_gamma 90.00
loop_
_atom_site_label
_atom_site_type_symbol
_atom_site_fract_x
_atom_site_fract_y
_atom_site_fract_z
K1 K 0.500 0.000 0.500
Pt1 Pt 0.000 0.500 0.500
Rh1 Rh 0.000 0.000 0.000
Rh2 Rh 0.500 0.500 0.000
# Total moment in Bohr magnetons per cell: 0.942
# Volume in Å³/cell: 70
# N(E_F) in states/eV per atom: 1.52
# ΔE to the lowest computed polymorph in eV/f.u.: 1.47



Entry 3:
# K2PtRh PBE optimized geometry
data_K2PtRh
_symmetry_space_group_name_H-M 'P 1'
_symmetry_Int_Tables_number 1
_symmetry_space_group_name_Hall 'P 1'
_cell_length_a 5.203
_cell_length_b 5.203
_cell_length_c 5.203
_cell_angle_alpha 60.00
_cell_angle_beta 60.00
_cell_angle_gamma 60.00
loop_
_atom_site_label
_atom_site_type_symbol
_atom_site_fract_x
_atom_site_fract_y
_atom_site_fract_z
K1 K 0.250 0.250 0.250
K2 K 0.750 0.750 0.750
Rh1 Rh 0.000 0.000 0.000
Pt1 Pt 0.500 0.500 0.500
# Total moment in Bohr magnetons per cell: 0.694
# Volume in Å³/cell: 100
# N(E_F) in states/eV per atom: 0.87
# ΔE to the lowest computed polymorph in eV/f.u.: 2.66



Entry 4:
# KPt2Rh PBE optimized geometry
data_KPt2Rh
_symmetry_space_group_name_H-M 'P 1'
_symmetry_Int_Tables_number 1
_symmetry_space_group_name_Hall 'P 1'
_cell_length_a 6.066
_cell_length_b 6.066
_cell_length_c 6.066
_cell_angle_alpha 153.89
_cell_angle_beta 129.91
_cell_angle_gamma 57.35
loop_
_atom_site_label
_atom_site_type_symbol
_atom_site_fract_x
_atom_site_fract_y
_atom_site_fract_z
K1 K 0.251 0.751 0.500
Pt1 Pt 0.969 0.969 0.000
Pt2 Pt 0.747 0.247 0.500
Rh1 Rh 0.533 0.533 0.000
# Total moment in Bohr magnetons per cell: 0.220
# Volume in Å³/cell: 75
# N(E_F) in states/eV per atom: 1.58
# DFT total energy in eV/f.u.: -19.22



Entry 5:
# KPt3Rh PBE optimized geometry
data_KPt3Rh
_symmetry_space_group_name_H-M 'P 1'
_symmetry_Int_Tables_number 1
_symmetry_space_group_name_Hall 'P 1'
_cell_length_a 4.938
_cell_length_b 4.938
_cell_length_c 4.938
_cell_angle_alpha 90.00
_cell_angle_beta 90.00
_cell_angle_gamma 90.00
loop_
_atom_site_label
_atom_site_type_symbol
_atom_site_fract_x
_atom_site_fract_y
_atom_site_fract_z
K1 K 0.500 0.500 0.500
Rh1 Rh 0.000 0.000 0.000
Pt1 Pt 0.000 0.500 0.000
Pt2 Pt 0.000 0.000 0.500
Pt3 Pt 0.500 0.000 0.000
# Total moment in Bohr magnetons per cell: 2.177
# Volume in Å³/cell: 120
# N(E_F) in states/eV per atom: 1.38
# ΔE to the lowest computed polymorph in eV/f.u.: 0.00



Entry 6:
# KPtRh2 PBE optimized geometry
data_KPtRh2
_symmetry_space_group_name_H-M 'P 1'
_symmetry_Int_Tables_number 1
_symmetry_space_group_name_Hall 'P 1'
_cell_length_a 5.956
_cell_length_b 5.956
_cell_length_c 5.956
_cell_angle_alpha 153.26
_cell_angle_beta 129.77
_cell_angle_gamma 57.81
loop_
_atom_site_label
_atom_site_type_symbol
_atom_site_fract_x
_atom_site_fract_y
_atom_site_fract_z
K1 K 0.502 0.502 0.000
Pt1 Pt 0.220 0.720 0.500
Rh1 Rh 0.995 0.995 0.000
Rh2 Rh 0.783 0.283 0.500
# Total moment in Bohr magnetons per cell: 1.247
# Volume in Å³/cell: 73
# N(E_F) in states/eV per atom: 1.61
# ΔE to the lowest computed polymorph in eV/f.u.: 0.89



Entry 7:
# KPt2Rh PBE optimized geometry
data_KPt2Rh
_symmetry_space_group_name_H-M 'P 1'
_symmetry_Int_Tables_number 1
_symmetry_space_group_name_Hall 'P 1'
_cell_length_a 4.676
_cell_length_b 4.676
_cell_length_c 4.676
_cell_angle_alpha 60.00
_cell_angle_beta 60.00
_cell_angle_gamma 60.00
loop_
_atom_site_label
_atom_site_type_symbol
_atom_site_fract_x
_atom_site_fract_y
_atom_site_fract_z
K1 K 0.500 0.500 0.500
Pt1 Pt 0.000 0.000 0.000
Pt2 Pt 0.250 0.250 0.250
Rh1 Rh 0.750 0.750 0.750
# Total moment in Bohr magnetons per cell: 1.785
# Volume in Å³/cell: 72
# N(E_F) in states/eV per atom: 1.22
# DFT total energy in eV/f.u.: -17.83



Entry 8:
# KPt2Rh2 PBE optimized geometry
data_KPt2Rh2
_symmetry_space_group_name_H-M 'P 1'
_symmetry_Int_Tables_number 1
_symmetry_space_group_name_Hall 'P 1'
_cell_length_a 6.000
_cell_length_b 6.000
_cell_length_c 6.000
_cell_angle_alpha 136.66
_cell_angle_beta 136.66
_cell_angle_gamma 62.97
loop_
_atom_site_label
_atom_site_type_symbol
_atom_site_fract_x
_atom_site_fract_y
_atom_site_fract_z
K1 K 0.000 0.000 0.000
Pt1 Pt 0.250 0.750 0.500
Pt2 Pt 0.750 0.250 0.500
Rh1 Rh 0.617 0.617 0.000
Rh2 Rh 0.383 0.383 0.000
# Total moment in Bohr magnetons per cell: 0.000
# Volume in Å³/cell: 101
# N(E_F) in states/eV per atom: 1.21
# ΔE to the lowest computed polymorph in eV/f.u.: 1.28